First-principles (PBE) data for K2CePrTe4 after structural relaxation, as listed in Alexandria via LeMat-Bulk.

As for the total energy: -36.5 eV/f.u. Its total magnetization is 0.13 μB/atom.

a b c (Å): 4.660 8.066 8.661
angles (deg): 108.08 90.00 90.00
Site moments in Bohr magnetons follow the coordinates.
Fractional coordinates of all 8 atoms:
Te: 0.500 0.239 0.216  -0.01
Te: 0.000 0.737 0.215  -0.01
Te: 0.500 0.761 0.784  -0.01
Te: 0.000 0.263 0.785  -0.01
Ce: 0.500 0.500 0.000  0.98
K: 0.000 0.500 0.500  0.00
K: 0.500 0.000 0.500  0.00
Pr: 0.000 0.000 0.000  0.01